Tl3CdFe2F9 | PBE+U | optimized geometry

Output
**E_tot**: -4.56 eV per atom
**SG**: P-3m1, No. 164
**Calculated volume**: 16.18 Å³/atom
**Mass density**: 6.900 Mg/m³

abc: 6.1606 6.1606 7.3823
angles: 90.00 90.00 120.00
Site moments in Bohr magnetons follow the coordinates.
Atoms (fractional coordinates):
Tl  0.3333  0.6667  0.6706  0.00
Tl  0.0000  0.0000  0.0000  0.00
Tl  0.6667  0.3333  0.3294  0.00
Cd  0.0000  0.0000  0.5000  0.02
Fe  0.3333  0.6667  0.1578  3.81
Fe  0.6667  0.3333  0.8422  3.81
F  0.8285  0.1715  0.6801  0.02
F  0.8285  0.6570  0.6801  0.02
F  0.3430  0.1715  0.6801  0.02
F  0.6570  0.8285  0.3199  0.02
F  0.1715  0.3430  0.3199  0.02
F  0.1715  0.8285  0.3199  0.02
F  0.5000  0.0000  0.0000  0.04
F  0.0000  0.5000  0.0000  0.04
F  0.5000  0.5000  0.0000  0.04